Below is a geometry-optimized VCrSbO6 structure, with properties calculated at the PBE with a Hubbard U level. Values from VASP.

Properties
SG: No. 163
E above lowest polymorph in kJ/mol of formula units: 136
Raw total energy in eV per formula unit: -63.58
M_tot in μB/cell: 8.0

Cell and atoms, written as Quantum ESPRESSO input:
```
&SYSTEM
  ibrav = 0, nat = 18, ntyp = 4
/
ATOMIC_SPECIES
V 50.94 V.upf
Cr 52.00 Cr.upf
Sb 121.76 Sb.upf
O 16.00 O.upf
ATOMIC_POSITIONS crystal
V 0.333 0.667 0.250
V 0.667 0.333 0.750
Cr 0.000 0.000 0.000
Cr 0.000 0.000 0.500
Sb 0.333 0.667 0.750
Sb 0.667 0.333 0.250
O 0.008 0.345 0.129
O 0.008 0.663 0.371
O 0.337 0.345 0.371
O 0.337 0.992 0.129
O 0.345 0.008 0.629
O 0.345 0.337 0.871
O 0.655 0.663 0.129
O 0.655 0.992 0.371
O 0.663 0.008 0.871
O 0.663 0.655 0.629
O 0.992 0.337 0.629
O 0.992 0.655 0.871
CELL_PARAMETERS angstrom
5.090 0.000 0.000
-2.545 4.408 0.000
0.000 0.000 8.783
```